(1)
Material: ReAsOs
Method: DFT, PBE
State: relaxed

Summary:
* polymorph energy (0 for the lowest one): 159 meV per atom
* energy of formation from the pure elements: 430 meV per atom
* magnetic moment: 0.002 μB/f.u.

a = 4.199 Å, b = 4.199 Å, c = 4.199 Å
α = 60.00°, β = 60.00°, γ = 60.00°
Sites, in units of the cell vectors:
Os: 0.750 0.750 0.750
Re: 0.000 0.000 0.000
As: 0.500 0.500 0.500

=====

(2)
Material: ErPuTe2
Method: DFT, PBE
State: relaxed

Summary:
* polymorph energy (0 for the lowest one): 149 meV per atom
* energy relative to the elements, uncorrected: -1.035 eV per atom
* magnetic moment: 6.430 μB/f.u.

a = 3.770 Å, b = 3.770 Å, c = 7.598 Å
α = 90.00°, β = 90.00°, γ = 90.00°
Each line ends with the local moment (μB).
Sites, in units of the cell vectors:
Te: 0.000 0.000 0.757  -0.07
Te: 0.000 0.000 0.243  -0.07
Er: 0.500 0.500 0.000  0.30
Pu: 0.500 0.500 0.500  5.65